Entry 1:
Y2MnRe | PBE | relaxed

Properties
SG   I-42d (122)
Total magnetization   3.910 μB/f.u.
Electronic total energy   -7.854 eV/atom
Crystal system   tetragonal
Energy above the most stable polymorph in this dataset   701 meV/atom

Lattice parameters (Å, degrees): 6.237 6.237 6.237 103.46 103.46 122.31
Fractional positions:
Y (0.117, 0.125, 0.492)
Y (0.375, 0.883, 0.008)
Y (0.633, 0.625, 0.508)
Y (0.875, 0.367, 0.992)
Mn (0.250, 0.750, 0.500)
Mn (0.500, 0.500, 0.000)
Re (0.000, 0.000, 0.000)
Re (0.750, 0.250, 0.500)


Entry 2:
Ac3Al2S8 | PBE | relaxed

Properties
SG   R-3m (166)
Total magnetization   0.000 μB/f.u.
ΔE_f (raw)   -1537 meV per atom
Electronic total energy   -5.601 eV/atom
Crystal system   trigonal

Lattice parameters (Å, degrees): 9.234 9.234 9.234 41.99 41.99 41.99
Fractional positions:
Ac (0.000, 0.000, 0.000)
Ac (0.207, 0.207, 0.207)
Ac (0.793, 0.793, 0.793)
Al (0.405, 0.405, 0.405)
Al (0.595, 0.595, 0.595)
S (0.203, 0.742, 0.742)
S (0.258, 0.258, 0.797)
S (0.258, 0.797, 0.258)
S (0.318, 0.318, 0.318)
S (0.682, 0.682, 0.682)
S (0.742, 0.203, 0.742)
S (0.742, 0.742, 0.203)
S (0.797, 0.258, 0.258)


Entry 3:
FeRuPt2 | PBE | relaxed

Properties
SG   Pmmm (47)
Total magnetization   3.181 μB/f.u.
Electronic total energy   -7.519 eV/atom
Crystal system   orthorhombic

Lattice parameters (Å, degrees): 2.721 3.914 5.424 90.00 90.00 90.00
Fractional positions:
Fe (0.000, 0.000, 0.000)
Ru (0.000, 0.000, 0.500)
Pt (0.500, 0.500, 0.250)
Pt (0.500, 0.500, 0.750)


Number 1 is which compound? Y2MnRe